Material: Co3AsP
Method: DFT, PBE-GGA
State: relaxed

As for the relative energy among the computed polymorphs: 0.000 eV/atom. The calculation puts the formation energy at 0.29 eV per atom.

The structure belongs to space group Pm-3m (No. 221); the cell edges are 4.154, 4.154 and 4.154 Å and the angles 90.00°, 90.00° and 90.00°. Symmetry generates all atoms from Co at (0.000, 0.000, 0.500), As at (0.500, 0.500, 0.500) and P at (0.000, 0.000, 0.000).